# 1
# Tl3In4Sn2Hg2 | Alexandria via LeMat-Bulk | PBE | relaxed
# **Total DFT energy (no corrections)**: -2.4027 eV/atom
data_Tl3In4Sn2Hg2
_chemical_formula_sum 'Tl3 In4 Sn2 Hg2'
_cell_length_a 5.4480
_cell_length_b 5.4480
_cell_length_c 12.6067
_cell_angle_alpha 90.00
_cell_angle_beta 90.00
_cell_angle_gamma 120.00
_space_group_name_H-M_alt 'P -3 m 1'
_space_group_IT_number 164
_space_group_name_Hall '-P 3 2"'
loop_
_atom_site_label
_atom_site_type_symbol
_atom_site_fract_x
_atom_site_fract_y
_atom_site_fract_z
Tl1 Tl 0.0000 0.0000 0.0000
Tl2 Tl 0.0000 0.0000 0.2779
In1 In 0.3333 0.6667 0.3875
In2 In 0.3333 0.6667 0.8762
Sn1 Sn 0.3333 0.6667 0.6296
Hg1 Hg 0.3333 0.6667 0.1307

---

# 2
# Tl4In2SnHg | Alexandria via LeMat-Bulk | PBE | relaxed
# **Total DFT energy (no corrections)**: -2.2590 eV/atom
data_Tl4In2SnHg
_chemical_formula_sum 'Tl4 In2 Sn1 Hg1'
_cell_length_a 4.744
_cell_length_b 4.744
_cell_length_c 11.330
_cell_angle_alpha 90.00
_cell_angle_beta 90.00
_cell_angle_gamma 90.00
_space_group_name_H-M_alt 'P 4/m m m'
_space_group_IT_number 123
_space_group_name_Hall '-P 4 2'
loop_
_atom_site_label
_atom_site_type_symbol
_atom_site_fract_x
_atom_site_fract_y
_atom_site_fract_z
Tl1 Tl 0.000 0.500 0.190
In1 In 0.000 0.000 0.376
Sn1 Sn 0.500 0.500 0.500
Hg1 Hg 0.500 0.500 0.000

---

# 3
# TlInSnHg | Alexandria via LeMat-Bulk | PBE | relaxed
# **Total DFT energy (no corrections)**: -2.3398 eV/atom
data_TlInSnHg
_chemical_formula_sum 'Tl4 In4 Sn4 Hg4'
_cell_length_a 7.651
_cell_length_b 7.651
_cell_length_c 7.651
_cell_angle_alpha 90.00
_cell_angle_beta 90.00
_cell_angle_gamma 90.00
_space_group_name_H-M_alt 'F -4 3 m'
_space_group_IT_number 216
_space_group_name_Hall 'F -4 2 3'
loop_
_atom_site_label
_atom_site_type_symbol
_atom_site_fract_x
_atom_site_fract_y
_atom_site_fract_z
Tl1 Tl 0.000 0.000 0.000
In1 In 0.000 0.000 0.500
Sn1 Sn 0.250 0.250 0.250
Hg1 Hg 0.250 0.250 0.750

---

# 4
# Tl3In3Sn2Hg | Alexandria via LeMat-Bulk | PBE | relaxed
# **Total DFT energy (no corrections)**: -2.5803 eV/atom
data_Tl3In3Sn2Hg
_chemical_formula_sum 'Tl3 In3 Sn2 Hg1'
_cell_length_a 9.2143
_cell_length_b 9.2143
_cell_length_c 3.4901
_cell_angle_alpha 90.00
_cell_angle_beta 90.00
_cell_angle_gamma 120.00
_space_group_name_H-M_alt 'P -6 2 m'
_space_group_IT_number 189
_space_group_name_Hall 'P -6 -2'
loop_
_atom_site_label
_atom_site_type_symbol
_atom_site_fract_x
_atom_site_fract_y
_atom_site_fract_z
Tl1 Tl 0.0000 0.7064 0.0000
In1 In 0.0000 0.3687 0.5000
Sn1 Sn 0.3333 0.6667 0.0000
Hg1 Hg 0.0000 0.0000 0.5000

---

# 5
# Tl2InSnHg2 | Alexandria via LeMat-Bulk | PBE | relaxed
# **Total DFT energy (no corrections)**: -2.0009 eV/atom
data_Tl2InSnHg2
_chemical_formula_sum 'Tl8 In4 Sn4 Hg8'
_cell_length_a 6.499
_cell_length_b 16.637
_cell_length_c 6.480
_cell_angle_alpha 90.00
_cell_angle_beta 90.00
_cell_angle_gamma 90.00
_space_group_name_H-M_alt 'I b a m'
_space_group_IT_number 72
_space_group_name_Hall '-I 2 2c'
loop_
_atom_site_label
_atom_site_type_symbol
_atom_site_fract_x
_atom_site_fract_y
_atom_site_fract_z
Tl1 Tl 0.232 0.171 0.000
In1 In 0.000 0.500 0.250
Sn1 Sn 0.000 0.000 0.250
Hg1 Hg 0.235 0.362 0.000

---

# 6
# Tl2In2SnHg7 | Alexandria via LeMat-Bulk | PBE | relaxed
# **Total DFT energy (no corrections)**: -1.3421 eV/atom
data_Tl2In2SnHg7
_chemical_formula_sum 'Tl4 In4 Sn2 Hg14'
_cell_length_a 3.200
_cell_length_b 35.014
_cell_length_c 6.025
_cell_angle_alpha 90.00
_cell_angle_beta 90.00
_cell_angle_gamma 90.00
_space_group_name_H-M_alt 'I m m 2'
_space_group_IT_number 44
_space_group_name_Hall 'I 2 -2'
loop_
_atom_site_label
_atom_site_type_symbol
_atom_site_fract_x
_atom_site_fract_y
_atom_site_fract_z
Tl1 Tl 0.000 0.178 0.000
In1 In 0.000 0.076 0.403
Sn1 Sn 0.000 0.500 0.107
Hg1 Hg 0.000 0.000 0.089
Hg2 Hg 0.000 0.087 0.903
Hg3 Hg 0.000 0.237 0.531
Hg4 Hg 0.000 0.344 0.993

---

# 7
# Tl2In6SnHg | Alexandria via LeMat-Bulk | PBE | relaxed
# **Total DFT energy (no corrections)**: -2.5180 eV/atom
data_Tl2In6SnHg
_chemical_formula_sum 'Tl2 In6 Sn1 Hg1'
_cell_length_a 5.633
_cell_length_b 6.278
_cell_length_c 8.455
_cell_angle_alpha 74.84
_cell_angle_beta 75.20
_cell_angle_gamma 83.53
_space_group_name_H-M_alt 'P -1'
_space_group_IT_number 2
_space_group_name_Hall '-P 1'
loop_
_atom_site_label
_atom_site_type_symbol
_atom_site_fract_x
_atom_site_fract_y
_atom_site_fract_z
Tl1 Tl 0.005 0.405 0.203
In1 In 0.006 0.810 0.396
In2 In 0.491 0.895 0.697
In3 In 0.499 0.290 0.902
Sn1 Sn 0.000 0.000 0.000
Hg1 Hg 0.500 0.500 0.500

---

# 8
# TlIn4SnHg2 | Alexandria via LeMat-Bulk | PBE | relaxed
# **Total DFT energy (no corrections)**: -2.1902 eV/atom
data_TlIn4SnHg2
_chemical_formula_sum 'Tl1 In4 Sn1 Hg2'
_cell_length_a 4.763
_cell_length_b 4.763
_cell_length_c 10.554
_cell_angle_alpha 90.00
_cell_angle_beta 90.00
_cell_angle_gamma 90.00
_space_group_name_H-M_alt 'P 4/m m m'
_space_group_IT_number 123
_space_group_name_Hall '-P 4 2'
loop_
_atom_site_label
_atom_site_type_symbol
_atom_site_fract_x
_atom_site_fract_y
_atom_site_fract_z
Tl1 Tl 0.000 0.000 0.000
In1 In 0.000 0.500 0.308
Sn1 Sn 0.000 0.000 0.500
Hg1 Hg 0.500 0.500 0.133

---

# 9
# TmInSnHg | Alexandria via LeMat-Bulk | PBE | relaxed
# **Excess energy over the best structure of this formula in the dataset**: 181 meV per atom
data_TmInSnHg
_chemical_formula_sum 'Tm4 In4 Sn4 Hg4'
_cell_length_a 7.469
_cell_length_b 7.469
_cell_length_c 7.469
_cell_angle_alpha 90.00
_cell_angle_beta 90.00
_cell_angle_gamma 90.00
_space_group_name_H-M_alt 'F -4 3 m'
_space_group_IT_number 216
_space_group_name_Hall 'F -4 2 3'
loop_
_atom_site_label
_atom_site_type_symbol
_atom_site_fract_x
_atom_site_fract_y
_atom_site_fract_z
Tm1 Tm 0.000 0.000 0.000
In1 In 0.000 0.000 0.500
Sn1 Sn 0.250 0.250 0.250
Hg1 Hg 0.250 0.250 0.750

---

# 10
# TmInSnHg | Alexandria via LeMat-Bulk | PBE | relaxed
# **Excess energy over the best structure of this formula in the dataset**: 0 meV per atom
data_TmInSnHg
_chemical_formula_sum 'Tm1 In1 Sn1 Hg1'
_cell_length_a 4.521
_cell_length_b 4.549
_cell_length_c 4.753
_cell_angle_alpha 90.00
_cell_angle_beta 90.00
_cell_angle_gamma 90.00
_space_group_name_H-M_alt 'P m m m'
_space_group_IT_number 47
_space_group_name_Hall '-P 2 2'
loop_
_atom_site_label
_atom_site_type_symbol
_atom_site_fract_x
_atom_site_fract_y
_atom_site_fract_z
Tm1 Tm 0.000 0.000 0.000
In1 In 0.000 0.500 0.500
Sn1 Sn 0.500 0.500 0.000
Hg1 Hg 0.500 0.000 0.500

---

# 11
# YInSnHg | Alexandria via LeMat-Bulk | PBE | relaxed
# **Excess energy over the best structure of this formula in the dataset**: 203 meV per atom
data_YInSnHg
_chemical_formula_sum 'Y4 In4 Sn4 Hg4'
_cell_length_a 7.509
_cell_length_b 7.509
_cell_length_c 7.509
_cell_angle_alpha 90.00
_cell_angle_beta 90.00
_cell_angle_gamma 90.00
_space_group_name_H-M_alt 'F -4 3 m'
_space_group_IT_number 216
_space_group_name_Hall 'F -4 2 3'
loop_
_atom_site_label
_atom_site_type_symbol
_atom_site_fract_x
_atom_site_fract_y
_atom_site_fract_z
Y1 Y 0.000 0.000 0.000
In1 In 0.000 0.000 0.500
Sn1 Sn 0.250 0.250 0.250
Hg1 Hg 0.250 0.250 0.750

---

# 12
# YInSnHg | Alexandria via LeMat-Bulk | PBE | relaxed
# **Excess energy over the best structure of this formula in the dataset**: 0 meV per atom
data_YInSnHg
_chemical_formula_sum 'Y1 In1 Sn1 Hg1'
_cell_length_a 4.545
_cell_length_b 4.577
_cell_length_c 4.792
_cell_angle_alpha 90.00
_cell_angle_beta 90.00
_cell_angle_gamma 90.00
_space_group_name_H-M_alt 'P m m m'
_space_group_IT_number 47
_space_group_name_Hall '-P 2 2'
loop_
_atom_site_label
_atom_site_type_symbol
_atom_site_fract_x
_atom_site_fract_y
_atom_site_fract_z
Y1 Y 0.000 0.000 0.000
In1 In 0.000 0.500 0.500
Sn1 Sn 0.500 0.500 0.000
Hg1 Hg 0.500 0.000 0.500